1.
! GeH2Cl | Alexandria via LeMat-Bulk | SCAN | single point on PBEsol structure; values from VASP
&SYSTEM
  ibrav = 0, nat = 8, ntyp = 3
/
ATOMIC_SPECIES
H 1.01 H.upf
Ge 72.64 Ge.upf
Cl 35.45 Cl.upf
CELL_PARAMETERS angstrom
5.389 0.000 0.000
2.694 4.667 0.000
2.694 1.556 4.400
ATOMIC_POSITIONS crystal
H 0.625 0.625 0.625
H 0.625 0.625 0.125
H 0.625 0.125 0.625
H 0.125 0.625 0.625
Ge 0.750 0.750 0.750
Ge 0.500 0.500 0.500
Cl 0.250 0.250 0.250
Cl 0.000 0.000 0.000
! - density (Mg/m³) = 3.31
! - crystal system = cubic
! - space-group type = Fd-3m (227)



2.
! HgGeCl2 | Alexandria via LeMat-Bulk | SCAN | single point on PBEsol structure; values from VASP
&SYSTEM
  ibrav = 0, nat = 4, ntyp = 3
/
ATOMIC_SPECIES
Ge 72.64 Ge.upf
Hg 200.59 Hg.upf
Cl 35.45 Cl.upf
CELL_PARAMETERS angstrom
-1.909 4.221 -1.804
-1.604 0.193 -4.701
-4.869 0.318 -0.954
ATOMIC_POSITIONS crystal
Ge 0.000 0.000 0.000
Hg 0.500 0.500 0.500
Cl 0.250 0.250 0.250
Cl 0.750 0.750 0.750
! - density (Mg/m³) = 6.58
! - uncorrected formation energy (eV per atom) = -0.114
! - crystal system = cubic
! - space-group type = Fm-3m (225)



3.
! InGeI2Cl | Alexandria via LeMat-Bulk | SCAN | single point on PBEsol structure; values from VASP
&SYSTEM
  ibrav = 0, nat = 5, ntyp = 4
/
ATOMIC_SPECIES
I 126.90 I.upf
Ge 72.64 Ge.upf
Cl 35.45 Cl.upf
In 114.82 In.upf
CELL_PARAMETERS angstrom
-3.931 -3.518 1.779
1.763 -3.847 -3.713
3.575 -2.058 3.830
ATOMIC_POSITIONS crystal
I 0.000 0.000 0.500
I 0.000 0.500 0.000
Ge 0.500 0.500 0.500
Cl 0.000 0.000 0.000
In 0.500 0.000 0.000
! - density (Mg/m³) = 4.49
! - uncorrected formation energy (eV per atom) = 0.587
! - crystal system = tetragonal
! - space-group type = P4/mmm (123)



4.
! GeTe2ICl | Alexandria via LeMat-Bulk | SCAN | single point on PBEsol structure; values from VASP
&SYSTEM
  ibrav = 0, nat = 5, ntyp = 4
/
ATOMIC_SPECIES
I 126.90 I.upf
Ge 72.64 Ge.upf
Te 127.60 Te.upf
Cl 35.45 Cl.upf
CELL_PARAMETERS angstrom
-2.344 -2.855 4.059
4.758 -1.798 1.483
0.558 4.153 3.243
ATOMIC_POSITIONS crystal
I 0.500 0.000 0.000
Ge 0.500 0.500 0.500
Te 0.000 0.000 0.500
Te 0.000 0.500 0.000
Cl 0.000 0.000 0.000
! - density (Mg/m³) = 5.28
! - uncorrected formation energy (eV per atom) = 0.835
! - crystal system = tetragonal
! - space-group type = P4/mmm (123)



5.
! NbInGeCl2 | Alexandria via LeMat-Bulk | SCAN | single point on PBEsol structure; values from VASP
&SYSTEM
  ibrav = 0, nat = 5, ntyp = 4
/
ATOMIC_SPECIES
Nb 92.91 Nb.upf
Cl 35.45 Cl.upf
Ge 72.64 Ge.upf
In 114.82 In.upf
CELL_PARAMETERS angstrom
-0.490 -3.864 -2.821
4.726 -0.832 0.319
-0.921 -3.389 4.802
ATOMIC_POSITIONS crystal
Nb 0.000 0.000 0.500
Cl 0.000 0.500 0.000
Cl 0.500 0.000 0.000
Ge 0.500 0.500 0.500
In 0.000 0.000 0.000
! - density (Mg/m³) = 4.24
! - uncorrected formation energy (eV per atom) = 0.715
! - crystal system = tetragonal
! - space-group type = P4/mmm (123)



6.
! InGeWCl2 | Alexandria via LeMat-Bulk | SCAN | single point on PBEsol structure; values from VASP
&SYSTEM
  ibrav = 0, nat = 5, ntyp = 4
/
ATOMIC_SPECIES
Ge 72.64 Ge.upf
Cl 35.45 Cl.upf
W 183.84 W.upf
In 114.82 In.upf
CELL_PARAMETERS angstrom
4.851 0.000 0.000
0.000 4.851 0.000
0.000 0.000 5.755
ATOMIC_POSITIONS crystal
Ge 0.500 0.500 0.500
Cl 0.000 0.500 0.000
Cl 0.500 0.000 0.000
W 0.000 0.000 0.500
In 0.000 0.000 0.000
! - density (Mg/m³) = 5.42
! - uncorrected formation energy (eV per atom) = 1.175
! - crystal system = tetragonal
! - space-group type = P4/mmm (123)



E_tot per entry: -8.3850; -25.9167; -26.2000; -26.8268; -19.5969; -26.4486 eV/atom